[1]
DFT (GGA-PBE) results for an optimized crystal structure of CoAsCSe2.

Results
Uncorrected formation energy = 1620 meV/atom
Volume = 98 Å³/cell
Energy relative to the lowest polymorph listed for this composition = 30.0 kJ per mole of atoms
M_tot = 0.25 Bohr magnetons per cell

abc: 4.7413 4.7413 4.3495
angles: 90.00 90.00 90.00
Last column: nearest neighbours and their distance in Å.
Atoms (fractional coordinates):
As  0.0000  0.0000  0.5000  2 Co 2.17
Co  0.0000  0.0000  0.0000  2 As 2.17, 4 Se 2.37
C  0.5000  0.5000  0.5000  8 Se 3.22, 4 As 3.35
Se  0.0000  0.5000  0.0000  2 Co 2.37
Se  0.5000  0.0000  0.0000  2 Co 2.37

---

[2]
DFT (GGA-PBE) results for an optimized crystal structure of CoAsCSe2.

Results
Uncorrected formation energy = 1309 meV/atom
Volume = 81 Å³/cell
Energy relative to the lowest polymorph listed for this composition = 0.0 kJ per mole of atoms
M_tot = 1.58 Bohr magnetons per cell

abc: 4.3842 4.3842 4.1999
angles: 90.00 90.00 90.00
Last column: nearest neighbours and their distance in Å.
Atoms (fractional coordinates):
As  0.0000  0.0000  0.5000  2 C 2.10
Co  0.5000  0.5000  0.5000  8 Se 3.04, 4 As 3.10
C  0.0000  0.0000  0.0000  2 As 2.10, 4 Se 2.19
Se  0.0000  0.5000  0.0000  2 C 2.19
Se  0.5000  0.0000  0.0000  2 C 2.19

---

[3]
DFT (GGA-PBE) results for an optimized crystal structure of TbCo2AsC.

Results
Volume = 138 Å³/cell
Formation enthalpy at 0 K = -0.525 eV per atom
M_tot = 0.00 Bohr magnetons per cell

abc: 3.7630 5.6908 6.8104
angles: 90.00 90.00 109.31
Last column: nearest neighbours and their distance in Å.
Atoms (fractional coordinates):
Tb  0.4542  0.9084  0.7500  4 C 2.58
Tb  0.5458  0.0916  0.2500  4 C 2.58
Co  0.1603  0.3206  0.9450  1 C 1.76
Co  0.8397  0.6794  0.0550  1 C 1.76
Co  0.1603  0.3206  0.5550  1 C 1.76
Co  0.8397  0.6794  0.4450  1 C 1.76
As  0.7306  0.4611  0.7500  6 Co 2.39-2.42
As  0.2694  0.5389  0.2500  6 Co 2.39-2.42
C  0.0000  0.0000  0.0000  2 Co 1.76
C  0.0000  0.0000  0.5000  2 Co 1.76

---

[4]
DFT (GGA-PBE) results for an optimized crystal structure of CoTcAs2C.

Results
Volume = 77 Å³/cell
Formation enthalpy at 0 K = 0.989 eV per atom
M_tot = 2.05 Bohr magnetons per cell

abc: 4.7157 3.4459 4.7157
angles: 90.00 90.00 90.00
Last column: nearest neighbours and their distance in Å.
Atoms (fractional coordinates):
C  0.0000  0.5000  0.0000  2 Co 1.72
As  0.0000  0.0000  0.5000  2 Co 2.36
As  0.5000  0.0000  0.0000  2 Co 2.36
Co  0.0000  0.0000  0.0000  2 C 1.72
Tc  0.5000  0.5000  0.5000  8 As 2.92

---

[5]
DFT (GGA-PBE) results for an optimized crystal structure of Th6Co2AsC3.

Results
Volume = 255 Å³/cell
Formation enthalpy at 0 K = -0.374 eV per atom
M_tot = 0.00 Bohr magnetons per cell

abc: 3.8876 7.9521 8.9149
angles: 108.05 102.59 90.00
Last column: nearest neighbours and their distance in Å.
Atoms (fractional coordinates):
Th  0.3191  0.9022  0.6382  3 C 2.64-2.69
Th  0.6537  0.6092  0.3075  1 Co 2.51, 3 C 2.54-2.72
Th  0.6809  0.0978  0.3618  3 C 2.64-2.69
Th  0.9987  0.2712  0.9973  3 C 2.65-2.66, 2 As 2.91
Th  0.0013  0.7288  0.0027  3 C 2.65-2.66, 2 As 2.91
Th  0.3463  0.3908  0.6925  1 Co 2.51, 3 C 2.54-2.72
Co  0.7966  0.5990  0.5932  1 Th 2.51, 2 Co 2.70
Co  0.2034  0.4010  0.4068  1 Th 2.51, 2 Co 2.70
As  0.5000  0.0000  0.0000  6 Th 2.91-2.99
C  0.5000  0.5000  0.0000  6 Th 2.54-2.66
C  0.8381  0.1466  0.6761  6 Th 2.64-2.72
C  0.1619  0.8534  0.3239  6 Th 2.64-2.72

---

[6]
DFT (GGA-PBE) results for an optimized crystal structure of Tl2CoAsC.

Results
Volume = 114 Å³/cell
Formation enthalpy at 0 K = 1.384 eV per atom
M_tot = 1.96 Bohr magnetons per cell

abc: 5.3974 3.9171 5.3974
angles: 90.00 90.00 90.00
Last column: nearest neighbours and their distance in Å.
Atoms (fractional coordinates):
C  0.0000  0.0000  0.0000  2 As 1.96
Tl  0.0000  0.0000  0.5000  2 C 2.70
Tl  0.5000  0.0000  0.0000  2 C 2.70
Co  0.5000  0.5000  0.5000  8 Tl 3.33
As  0.0000  0.5000  0.0000  2 C 1.96